# TaTiRePt PBE optimized geometry
data_TaTiRePt
_chemical_formula_sum 'Ta4 Ti4 Re4 Pt4'
_cell_length_a 6.3676
_cell_length_b 6.3676
_cell_length_c 6.3676
_cell_angle_alpha 90.00
_cell_angle_beta 90.00
_cell_angle_gamma 90.00
_symmetry_space_group_name_H-M 'F -4 3 m'
_symmetry_Int_Tables_number 216
_symmetry_space_group_name_Hall 'F -4 2 3'
loop_
_atom_site_label
_atom_site_type_symbol
_atom_site_fract_x
_atom_site_fract_y
_atom_site_fract_z
_atom_site_occupancy
Ta1 Ta 0.0000 0.0000 0.0000 1
Ti1 Ti 0.0000 0.0000 0.5000 1
Re1 Re 0.2500 0.2500 0.2500 1
Pt1 Pt 0.2500 0.2500 0.7500 1
# calculated formation energy: -0.49 eV per atom
# electronic total energy: -10.05 eV/atom

# KMgInBi PBE optimized geometry
data_KMgInBi
_chemical_formula_sum 'K2 Mg2 In2 Bi2'
_cell_length_a 5.4808
_cell_length_b 5.4787
_cell_length_c 8.2522
_cell_angle_alpha 90.00
_cell_angle_beta 90.03
_cell_angle_gamma 90.00
_symmetry_space_group_name_H-M 'C 1 m 1'
_symmetry_Int_Tables_number 8
_symmetry_space_group_name_Hall 'C -2y'
loop_
_atom_site_label
_atom_site_type_symbol
_atom_site_fract_x
_atom_site_fract_y
_atom_site_fract_z
_atom_site_occupancy
K1 K 0.0000 0.0000 0.0000 1
Mg1 Mg 0.4981 0.5000 0.5108 1
In1 In 0.4991 0.0000 0.7022 1
Bi1 Bi 0.4994 0.0000 0.3112 1
# calculated formation energy: -0.17 eV per atom
# excess energy over the best structure of this formula in the dataset: 0.000 eV/atom
# electronic total energy: -2.50 eV/atom

# TmHfZr3 PBE optimized geometry
data_TmHfZr3
_chemical_formula_sum 'Tm2 Hf2 Zr6'
_cell_length_a 5.7038
_cell_length_b 6.1348
_cell_length_c 7.6582
_cell_angle_alpha 102.91
_cell_angle_beta 111.63
_cell_angle_gamma 90.02
_symmetry_space_group_name_H-M 'P -1'
_symmetry_Int_Tables_number 2
_symmetry_space_group_name_Hall '-P 1'
loop_
_atom_site_label
_atom_site_type_symbol
_atom_site_fract_x
_atom_site_fract_y
_atom_site_fract_z
_atom_site_occupancy
Tm1 Tm 0.0152 0.4539 0.2058 1
Hf1 Hf 0.4229 0.2433 0.9967 1
Zr1 Zr 0.1918 0.9563 0.1989 1
Zr2 Zr 0.2278 0.8617 0.6049 1
Zr3 Zr 0.3898 0.3538 0.6060 1
# calculated formation energy: 0.02 eV per atom
# excess energy over the best structure of this formula in the dataset: 0.000 eV/atom
# electronic total energy: -7.99 eV/atom